Here is a relaxed structure of MnCr2Au from the Alexandria database. Energies are from PBE.

magnetic moment	1.8	μB/f.u.
V	13.865	Å³/atom
distance to the lowest polymorph of the same formula	207	meV per atom
raw total energy	-0.278	hartree per atom
calculated formation energy	351	meV/atom

Unit cell a=4.6089 b=4.6089 c=4.5834 alpha=80.12 beta=80.12 gamma=35.39
Last column: magnetic moment on the atom in μB.
Positions (direct):
Cr1 0.4988 0.4988 0.5627  -0.28
Cr2 0.0012 0.0012 0.9373  -0.28
Au1 0.2500 0.2500 0.2500  0.00
Mn1 0.7500 0.7500 0.7500  2.29